Record 1
Entry from Alexandria via LeMat-Bulk: crystalline MnTcMo at its relaxed geometry (GGA-PBE).

```
data_MnTcMo
_cell_length_a 5.718
_cell_length_b 5.718
_cell_length_c 5.718
_cell_angle_alpha 90.00
_cell_angle_beta 90.00
_cell_angle_gamma 90.00
_space_group_name_H-M_alt 'F -4 3 m'
_space_group_IT_number 216
_space_group_name_Hall 'F -4 2 3'
loop_
_atom_site_label
_atom_site_type_symbol
_atom_site_fract_x
_atom_site_fract_y
_atom_site_fract_z
_atom_site_occupancy
Mn1 Mn 0.000 0.000 0.000 1
Tc1 Tc 0.250 0.250 0.750 1
Mo1 Mo 0.250 0.250 0.250 1
```

Results
- Total energy: -115.0 eV/cell
- Offset from the most stable computed form: 446.7 meV/atom
- Total magnetization: 0.00 μB/cell
- Formation energy: 0.54 eV per atom
- D(E_F): 2.84 states/eV/f.u.

***

Record 2
Entry from Alexandria via LeMat-Bulk: crystalline MnTc4Mo at its relaxed geometry (GGA-PBE).

```
data_MnTc4Mo
_cell_length_a 7.191
_cell_length_b 7.191
_cell_length_c 7.191
_cell_angle_alpha 90.00
_cell_angle_beta 90.00
_cell_angle_gamma 90.00
_space_group_name_H-M_alt 'F -4 3 m'
_space_group_IT_number 216
_space_group_name_Hall 'F -4 2 3'
loop_
_atom_site_label
_atom_site_type_symbol
_atom_site_fract_x
_atom_site_fract_y
_atom_site_fract_z
_atom_site_occupancy
Mn1 Mn 0.000 0.000 0.000 1
Tc1 Tc 0.126 0.126 0.374 1
Mo1 Mo 0.250 0.250 0.750 1
```

Results
- Total energy: -239.5 eV/cell
- Total magnetization: 10.64 μB/cell
- Formation energy: 0.26 eV per atom
- D(E_F): 6.15 states/eV/f.u.

***

Record 3
Entry from Alexandria via LeMat-Bulk: crystalline MnTc2Mo at its relaxed geometry (GGA-PBE).

```
data_MnTc2Mo
_cell_length_a 2.687
_cell_length_b 2.687
_cell_length_c 7.801
_cell_angle_alpha 90.00
_cell_angle_beta 90.00
_cell_angle_gamma 90.00
_space_group_name_H-M_alt 'P 4/m m m'
_space_group_IT_number 123
_space_group_name_Hall '-P 4 2'
loop_
_atom_site_label
_atom_site_type_symbol
_atom_site_fract_x
_atom_site_fract_y
_atom_site_fract_z
_atom_site_occupancy
Mn1 Mn 0.000 0.000 0.000 1
Tc1 Tc 0.500 0.500 0.219 1
Mo1 Mo 0.000 0.000 0.500 1
```

Results
- Total energy: -40.2 eV/cell
- Total magnetization: 0.00 μB/cell
- Formation energy: 0.13 eV per atom
- D(E_F): 5.32 states/eV/f.u.